[1]
PBE LaMgBi2Br, optimized geometry; formation energy from raw total energies = -64 meV/atom; total DFT energy (no corrections) = -3.26 eV per atom
1.0
6.275 0.000 0.000
0.000 6.275 0.000
0.000 0.000 5.666
La Mg Bi Br
1 1 2 1
Direct
0.000 0.000 0.000 La
0.500 0.500 0.500 Mg
0.000 0.500 0.000 Bi
0.500 0.000 0.000 Bi
0.000 0.000 0.500 Br


[2]
PBE LaBiOs2Br, optimized geometry; formation energy from raw total energies = 1664 meV/atom; total DFT energy (no corrections) = -4.92 eV per atom
1.0
5.018 0.000 0.000
0.000 5.018 0.000
0.000 0.000 5.603
La Bi Os Br
1 1 2 1
Direct
0.000 0.000 0.000 La
0.500 0.500 0.500 Bi
0.000 0.500 0.000 Os
0.500 0.000 0.000 Os
0.000 0.000 0.500 Br


[3]
PBE La3BiPbBr, optimized geometry; formation energy from raw total energies = -1004 meV/atom; total DFT energy (no corrections) = -5.01 eV per atom
1.0
8.012 0.000 0.000
0.000 4.571 0.000
-2.518 0.000 11.665
La Bi Pb Br
6 2 2 2
Direct
0.042 0.250 0.173 La
0.217 0.750 0.502 La
0.443 0.750 0.839 La
0.557 0.250 0.161 La
0.783 0.250 0.498 La
0.958 0.750 0.827 La
0.263 0.750 0.063 Bi
0.737 0.250 0.937 Bi
0.153 0.250 0.688 Pb
0.847 0.750 0.312 Pb
0.377 0.250 0.374 Br
0.623 0.750 0.626 Br


[4]
PBE LaPmBiBr, optimized geometry; formation energy from raw total energies = -1033 meV/atom; total DFT energy (no corrections) = -4.84 eV per atom
1.0
0.000 3.893 3.893
3.893 0.000 3.893
3.893 3.893 0.000
La Pm Bi Br
1 1 1 1
Direct
0.000 0.000 0.000 La
0.500 0.500 0.500 Pm
0.750 0.750 0.750 Bi
0.250 0.250 0.250 Br